(1)
DFT (PBE-GGA) results for an optimized crystal structure of La2RuSe.

**Formation energy (no corrections)**: -0.932 eV per atom
**Spin magnetization**: 0.00 μB/atom
**Crystal system**: trigonal

Cell: 4.1902 4.1902 21.9826 Å, 90.00 90.00 120.00°
Space group R3m (No. 160, hexagonal axes)
One atom of each set of equivalent atoms:
1 La 0.0000 0.0000 0.0000 [3 per cell]
2 La 0.0000 0.0000 0.1867 [3 per cell]
3 Ru 0.0000 0.0000 0.5945 [3 per cell]
4 Se 0.0000 0.0000 0.4278 [3 per cell]

=====

(2)
DFT (PBE-GGA) results for an optimized crystal structure of Ac5AlSe4.

**Formation energy (no corrections)**: -1.543 eV per atom
**Spin magnetization**: 0.00 μB/atom
**Crystal system**: tetragonal

Cell: 10.162 10.162 6.378 Å, 90.00 90.00 90.00°
Space group I4/m (No. 87)
One atom of each set of equivalent atoms:
1 Ac 0.000 0.000 0.000 [2 per cell]
2 Ac 0.100 0.299 0.500 [8 per cell]
3 Al 0.000 0.000 0.500 [2 per cell]
4 Se 0.101 0.302 0.000 [8 per cell]

=====

(3)
DFT (PBE-GGA) results for an optimized crystal structure of Ta3Nb6W.

**Formation energy from the elements**: -0.190 eV/f.u.
**Spin magnetization**: 0.00 μB/atom
**Crystal system**: monoclinic
**Offset from the most stable computed form**: 0 meV per atom

Cell: 8.078 4.676 9.890 Å, 90.00 105.71 90.00°
Space group P2_1/m (No. 11)
One atom of each set of equivalent atoms:
1 Ta 0.050 0.250 0.400 [2 per cell]
2 Ta 0.148 0.750 0.200 [2 per cell]
3 Ta 0.248 0.250 0.003 [2 per cell]
4 Nb 0.052 0.750 0.899 [2 per cell]
5 Nb 0.155 0.250 0.698 [2 per cell]
6 Nb 0.256 0.750 0.501 [2 per cell]
7 Nb 0.351 0.750 0.803 [2 per cell]
8 Nb 0.355 0.250 0.306 [2 per cell]
9 Nb 0.452 0.750 0.105 [2 per cell]
10 W 0.451 0.250 0.599 [2 per cell]

=====

(4)
DFT (PBE-GGA) results for an optimized crystal structure of Er6Tm2PuSc3.

**Formation energy from the elements**: 0.723 eV/f.u.
**Spin magnetization**: 0.57 μB/atom
**Crystal system**: monoclinic

Cell: 5.961 10.322 11.281 Å, 90.00 100.16 90.00°
Space group C2/m (No. 12)
One atom of each set of equivalent atoms:
1 Er 0.245 0.000 0.244 [4 per cell]
2 Er 0.249 0.335 0.244 [8 per cell]
3 Tm 0.000 0.333 0.500 [4 per cell]
4 Pu 0.000 0.000 0.500 [2 per cell]
5 Sc 0.000 0.168 0.000 [4 per cell]
6 Sc 0.000 0.500 0.000 [2 per cell]

=====

(5)
DFT (PBE-GGA) results for an optimized crystal structure of Mg6Bi3Pb.

**Formation energy from the elements**: -1.118 eV/f.u.
**Spin magnetization**: 0.00 μB/atom
**Crystal system**: monoclinic

Cell: 11.097 4.526 11.946 Å, 90.00 102.79 90.00°
Space group P2_1/m (No. 11)
One atom of each set of equivalent atoms:
1 Mg 0.074 0.250 0.369 [2 per cell]
2 Mg 0.084 0.750 0.946 [2 per cell]
3 Mg 0.203 0.250 0.765 [2 per cell]
4 Mg 0.295 0.750 0.354 [2 per cell]
5 Mg 0.374 0.250 0.558 [2 per cell]
6 Mg 0.394 0.250 0.074 [2 per cell]
7 Bi 0.055 0.750 0.188 [2 per cell]
8 Bi 0.333 0.750 0.915 [2 per cell]
9 Bi 0.456 0.250 0.328 [2 per cell]
10 Pb 0.172 0.750 0.566 [2 per cell]

=====

(6)
DFT (PBE-GGA) results for an optimized crystal structure of TmTlPbI6.

**Formation energy (no corrections)**: -0.972 eV per atom
**Spin magnetization**: 0.00 μB/atom
**Crystal system**: trigonal

Cell: 8.0625 8.0625 15.1611 Å, 90.00 90.00 120.00°
Space group P-31c (No. 163)
One atom of each set of equivalent atoms:
1 Tm 0.3333 0.6667 0.2500 [2 per cell]
2 Tl 0.0000 0.0000 0.0000 [2 per cell]
3 Pb 0.3333 0.6667 0.7500 [2 per cell]
4 I 0.0223 0.3732 0.1332 [12 per cell]

=====

(7)
DFT (PBE-GGA) results for an optimized crystal structure of LiAc2In6Ge.

**Formation energy from the elements**: -2.252 eV/f.u.
**Spin magnetization**: 0.00 μB/atom
**Crystal system**: trigonal

Cell: 7.2095 7.2095 37.2675 Å, 90.00 90.00 120.00°
Space group R-3m (No. 166, hexagonal axes)
One atom of each set of equivalent atoms:
1 Li 0.0000 0.0000 0.0000 [3 per cell]
2 Li 0.0000 0.0000 0.5000 [3 per cell]
3 Ac 0.0000 0.0000 0.1095 [6 per cell]
4 Ac 0.0000 0.0000 0.2846 [6 per cell]
5 In 0.0373 0.5186 0.2981 [18 per cell]
6 In 0.0565 0.5283 0.8652 [18 per cell]
7 Ge 0.0000 0.0000 0.4283 [6 per cell]

=====

(8)
DFT (PBE-GGA) results for an optimized crystal structure of NbGePd3.

**Formation energy from the elements**: -1.156 eV/f.u.
**Spin magnetization**: 0.00 μB/atom
**Crystal system**: monoclinic
**Offset from the most stable computed form**: 0 meV per atom

Cell: 9.517 11.811 5.952 Å, 90.00 90.17 90.00°
Space group C2/c (No. 15)
One atom of each set of equivalent atoms:
1 Nb 0.133 0.217 0.383 [8 per cell]
2 Ge 0.000 0.129 0.750 [4 per cell]
3 Ge 0.000 0.405 0.250 [4 per cell]
4 Pd 0.119 0.049 0.097 [8 per cell]
5 Pd 0.129 0.297 0.919 [8 per cell]
6 Pd 0.151 0.448 0.570 [8 per cell]

=====

(9)
DFT (PBE-GGA) results for an optimized crystal structure of MgBe2Ag.

**Formation energy from the elements**: 0.876 eV/f.u.
**Spin magnetization**: 0.00 μB/atom
**Crystal system**: tetragonal

Cell: 3.070 3.070 5.751 Å, 90.00 90.00 90.00°
Space group P4/mmm (No. 123)
One atom of each set of equivalent atoms:
1 Mg 0.000 0.000 0.000 [1 per cell]
2 Be 0.500 0.500 0.279 [2 per cell]
3 Ag 0.000 0.000 0.500 [1 per cell]

=====

(10)
DFT (PBE-GGA) results for an optimized crystal structure of BaCr2Re.

**Formation energy from the elements**: 5.604 eV/f.u.
**Spin magnetization**: 1.47 μB/atom
**Crystal system**: monoclinic
**Offset from the most stable computed form**: 711 meV per atom

Cell: 6.190 8.073 3.083 Å, 90.00 90.24 90.00°
Space group C2/m (No. 12)
One atom of each set of equivalent atoms:
1 Ba 0.000 0.000 0.000 [2 per cell]
2 Cr 0.250 0.250 0.500 [4 per cell]
3 Re 0.000 0.500 0.000 [2 per cell]

=====

(11)
DFT (PBE-GGA) results for an optimized crystal structure of Nd2ThGa2Cu2.

**Formation energy from the elements**: -2.482 eV/f.u.
**Spin magnetization**: 0.00 μB/atom
**Crystal system**: trigonal

Cell: 4.4358 4.4358 28.5940 Å, 90.00 90.00 120.00°
Space group R-3m (No. 166, hexagonal axes)
One atom of each set of equivalent atoms:
1 Nd 0.0000 0.0000 0.1249 [6 per cell]
2 Th 0.0000 0.0000 0.0000 [3 per cell]
3 Ga 0.0000 0.0000 0.2660 [6 per cell]
4 Cu 0.0000 0.0000 0.3955 [6 per cell]

=====

(12)
DFT (PBE-GGA) results for an optimized crystal structure of TlSb2Se.

**Formation energy (no corrections)**: -0.023 eV per atom
**Spin magnetization**: 0.00 μB/atom
**Crystal system**: monoclinic
**Offset from the most stable computed form**: 84 meV per atom

Cell: 3.160 6.005 6.427 Å, 90.00 95.02 90.00°
Space group Pm (No. 6)
One atom of each set of equivalent atoms:
1 Tl 0.000 0.000 0.000 [1 per cell]
2 Sb 0.480 0.000 0.519 [1 per cell]
3 Sb 0.494 0.500 0.406 [1 per cell]
4 Se 0.440 0.500 0.995 [1 per cell]

=====

(13)
DFT (PBE-GGA) results for an optimized crystal structure of ScPa2Te8.

**Formation energy (no corrections)**: -0.314 eV per atom
**Spin magnetization**: 0.23 μB/atom
**Crystal system**: trigonal

Cell: 6.4704 6.4704 12.3329 Å, 90.00 90.00 120.00°
Space group P-3m1 (No. 164)
One atom of each set of equivalent atoms:
1 Sc 0.0000 0.0000 0.0000 [1 per cell]
2 Pa 0.3333 0.6667 0.3628 [2 per cell]
3 Te 0.1650 0.3300 0.1746 [6 per cell]
4 Te 0.3333 0.6667 0.6079 [2 per cell]

=====

(14)
DFT (PBE-GGA) results for an optimized crystal structure of CrTcCl2.

**Formation energy (no corrections)**: 0.910 eV per atom
**Spin magnetization**: 0.00 μB/atom
**Crystal system**: cubic
**Offset from the most stable computed form**: 1100 meV per atom

Cell: 6.025 6.025 6.025 Å, 90.00 90.00 90.00°
Space group Fm-3m (No. 225)
One atom of each set of equivalent atoms:
1 Cr 0.000 0.000 0.000 [4 per cell]
2 Tc 0.000 0.000 0.500 [4 per cell]
3 Cl 0.250 0.250 0.250 [8 per cell]

=====

(15)
DFT (PBE-GGA) results for an optimized crystal structure of Sr2BiI.

**Formation energy (no corrections)**: -0.943 eV per atom
**Spin magnetization**: 0.00 μB/atom
**Crystal system**: tetragonal

Cell: 7.369 7.369 16.327 Å, 90.00 90.00 90.00°
Space group I-42d (No. 122)
One atom of each set of equivalent atoms:
1 Sr 0.226 0.250 0.125 [8 per cell]
2 Bi 0.000 0.000 0.000 [4 per cell]
3 I 0.000 0.000 0.500 [4 per cell]

=====

(16)
DFT (PBE-GGA) results for an optimized crystal structure of Pr3In4Au4.

**Formation energy from the elements**: -6.729 eV/f.u.
**Spin magnetization**: 0.00 μB/atom
**Crystal system**: orthorhombic

Cell: 4.490 7.744 15.630 Å, 90.00 90.00 90.00°
Space group Immm (No. 71)
One atom of each set of equivalent atoms:
1 Pr 0.000 0.000 0.000 [2 per cell]
2 Pr 0.000 0.500 0.120 [4 per cell]
3 In 0.000 0.303 0.330 [8 per cell]
4 Au 0.000 0.000 0.221 [4 per cell]
5 Au 0.000 0.191 0.500 [4 per cell]

=====

(17)
DFT (PBE-GGA) results for an optimized crystal structure of Cs3Th3TlTe8.

**Formation energy (no corrections)**: -1.129 eV per atom
**Spin magnetization**: 0.00 μB/atom
**Crystal system**: trigonal

Cell: 9.4299 9.4299 26.6151 Å, 90.00 90.00 120.00°
Space group R-3m (No. 166, hexagonal axes)
One atom of each set of equivalent atoms:
1 Cs 0.0000 0.5000 0.0000 [9 per cell]
2 Th 0.0000 0.5000 0.5000 [9 per cell]
3 Tl 0.0000 0.0000 0.5000 [3 per cell]
4 Te 0.0000 0.0000 0.2321 [6 per cell]
5 Te 0.0287 0.5143 0.7691 [18 per cell]

=====

(18)
DFT (PBE-GGA) results for an optimized crystal structure of BaCa2MgH8.

**Spin magnetization**: 0.00 μB/atom
**DFT total energy**: -3.229 eV/atom
**Crystal system**: triclinic

Cell: 4.052 5.397 7.630 Å, 89.93 89.98 82.98°
Space group P-1 (No. 2)
One atom of each set of equivalent atoms:
1 Ba 0.000 0.000 0.000 [1 per cell]
2 Ca 0.500 0.500 0.274 [2 per cell]
3 Mg 0.000 0.000 0.500 [1 per cell]
4 H 0.042 0.247 0.292 [2 per cell]
5 H 0.042 0.249 0.708 [2 per cell]
6 H 0.429 0.771 0.500 [2 per cell]
7 H 0.452 0.293 0.000 [2 per cell]

=====

(19)
DFT (PBE-GGA) results for an optimized crystal structure of LiTbSb3.

**Formation energy (no corrections)**: -0.621 eV per atom
**Spin magnetization**: 0.00 μB/atom
**Crystal system**: orthorhombic

Cell: 13.481 6.032 6.290 Å, 90.00 90.00 90.00°
Space group Pbcm (No. 57)
One atom of each set of equivalent atoms:
1 Li 0.108 0.250 0.000 [4 per cell]
2 Tb 0.318 0.511 0.250 [4 per cell]
3 Sb 0.083 0.709 0.250 [4 per cell]
4 Sb 0.254 0.003 0.250 [4 per cell]
5 Sb 0.496 0.250 0.000 [4 per cell]

=====

(20)
DFT (PBE-GGA) results for an optimized crystal structure of Cd2AgSe.

**Formation energy (no corrections)**: -0.089 eV per atom
**Spin magnetization**: 0.00 μB/atom
**Crystal system**: monoclinic

Cell: 7.090 4.081 6.917 Å, 90.00 109.94 90.00°
Space group C2/m (No. 12)
One atom of each set of equivalent atoms:
1 Cd 0.249 0.000 0.248 [4 per cell]
2 Ag 0.000 0.500 0.000 [2 per cell]
3 Se 0.000 0.000 0.500 [2 per cell]